NaMnP: relaxed, PBE-GGA.

Lattice parameters (Å, degrees): 3.756 3.756 7.078 90.00 90.00 90.00
Each line ends with the local moment (μB).
Fractional coordinates of all 6 atoms:
Mn 0.500 0.500 0.000  1.55
Mn 0.000 0.000 0.000  1.55
P 0.500 0.000 0.188  -0.09
P 0.000 0.500 0.812  -0.09
Na 0.500 0.000 0.645  -0.01
Na 0.000 0.500 0.355  -0.01

Calculated values
* energy of formation: -9.90 kcal/mol of atoms
* uncorrected energy: -5.729 eV per atom
* V: 16.65 A^3/atom
* DOS at the Fermi energy: 3.7 states/eV per cell

=====

Ac2CdNi3Ge4: relaxed, PBE-GGA.

Lattice parameters (Å, degrees): 4.363 4.363 10.353 90.00 90.00 90.00
Fractional coordinates of all 10 atoms:
Ge 0.500 0.000 0.650
Ge 0.500 0.500 0.000
Ge 0.000 0.000 0.000
Ge 0.000 0.500 0.350
Ac 0.000 0.500 0.761
Ac 0.500 0.000 0.239
Cd 0.500 0.500 0.500
Ni 0.000 0.500 0.113
Ni 0.500 0.000 0.887
Ni 0.000 0.000 0.500

Calculated values
* energy of formation: -12.64 kcal/mol of atoms
* uncorrected energy: -5.043 eV per atom
* V: 19.71 A^3/atom
* DOS at the Fermi energy: 6.0 states/eV per cell

=====

PmFeCoC2: relaxed, PBE-GGA.

Lattice parameters (Å, degrees): 3.409 3.409 5.623 107.65 107.65 90.00
Fractional coordinates of all 5 atoms:
Pm 0.000 0.000 0.000
C 0.658 0.658 0.317
C 0.342 0.342 0.683
Fe 0.250 0.750 0.500
Co 0.750 0.250 0.500

Calculated values
* energy of formation: -4.38 kcal/mol of atoms
* uncorrected energy: -7.943 eV per atom
* V: 11.81 A^3/atom
* DOS at the Fermi energy: 1.8 states/eV per cell